RbSrV3 | PBE-GGA | optimized geometry

Cell lengths 5.956, 5.956, 5.956 Å; angles 90.00, 90.00, 90.00 degrees
Site moments in Bohr magnetons follow the coordinates.
Sites, in units of the cell vectors:
Rb: 0.500 0.500 0.500  0.03
Sr: 0.000 0.000 0.000  0.39
V: 0.500 0.000 0.000  3.21
V: 0.000 0.500 0.000  3.21
V: 0.000 0.000 0.500  3.21

Properties
The calculation puts the polymorph energy (0 for the lowest one) at 0 meV/atom. The calculation puts the formation energy at 11.0 eV/f.u. Its space-group type is No. 221.



Rb2SrV | PBE-GGA | optimized geometry

Cell lengths 5.305, 5.305, 15.066 Å; angles 79.86, 79.86, 90.00 degrees
Site moments in Bohr magnetons follow the coordinates.
Sites, in units of the cell vectors:
Sr: 0.750 0.250 0.500  0.09
Rb: 0.375 0.394 0.750  0.02
Rb: 0.144 0.625 0.250  0.02
Rb: 0.875 0.856 0.750  0.02
V: 0.500 0.500 0.000  3.15
Rb: 0.606 0.125 0.250  0.02
Sr: 0.000 0.000 0.000  0.09
V: 0.250 0.750 0.500  3.15

Properties
The calculation puts the polymorph energy (0 for the lowest one) at 0 meV/atom. The calculation puts the formation energy at 3.8 eV/f.u. Its space-group type is No. 122.



RbSrV2W | PBE-GGA | optimized geometry

Cell lengths 4.757, 5.030, 4.757 Å; angles 90.00, 90.00, 90.00 degrees
Sites, in units of the cell vectors:
V: 0.000 0.000 0.500
Sr: 0.500 0.500 0.500
Rb: 0.000 0.000 0.000
W: 0.000 0.500 0.000
V: 0.500 0.000 0.000

Properties
The calculation puts the formation energy at 14.1 eV/f.u. Its space-group type is No. 123.



RbSrVW2 | PBE-GGA | optimized geometry

Cell lengths 4.984, 4.706, 4.984 Å; angles 90.00, 90.00, 90.00 degrees
Sites, in units of the cell vectors:
V: 0.000 0.500 0.000
W: 0.000 0.000 0.500
Sr: 0.500 0.500 0.500
W: 0.500 0.000 0.000
Rb: 0.000 0.000 0.000

Properties
The calculation puts the formation energy at 15.9 eV/f.u. Its space-group type is No. 123.